No. 1
Below is a PBEsol-optimized structure of CoPOsCl2, with properties calculated at the meta-GGA SCAN level.

Output
Excess energy over the best structure of this formula in the dataset: 0.0 meV per atom
Space group: P4/mmm
Crystal system: tetragonal
Electronic total energy: -111.325 eV per cell
Raw formation energy: 0.84 eV/atom

Unit cell a=4.449 b=4.808 c=4.808 alpha=90.00 beta=90.00 gamma=90.00
Site moments in Bohr magnetons follow the coordinates.
Sites, in units of the cell vectors:
1 Co 0.500 0.500 0.500  2.55
2 Os 0.000 0.000 0.000  0.10
3 P 0.500 0.000 0.000  -0.01
4 Cl 0.000 0.000 0.500  0.03
5 Cl 0.000 0.500 0.000  0.03

***

No. 2
Below is a PBEsol-optimized structure of CoSbOsCl2, with properties calculated at the meta-GGA SCAN level.

Output
Space group: P4/mmm
Crystal system: tetragonal
Electronic total energy: -135.623 eV per cell
Raw formation energy: 1.36 eV/atom

Unit cell a=5.107 b=5.077 c=5.077 alpha=90.00 beta=90.00 gamma=90.00
Site moments in Bohr magnetons follow the coordinates.
Sites, in units of the cell vectors:
1 Sb 0.000 0.000 0.000  -0.03
2 Cl 0.000 0.000 0.500  0.03
3 Cl 0.000 0.500 0.000  0.03
4 Os 0.500 0.000 0.000  1.28
5 Co 0.500 0.500 0.500  2.45